# 1
Material: Ac6IrPt2N
Method: DFT, PBE
State: relaxed

Summary:
**VASP energy**: -61.86 eV per cell

```
data_Ac6IrPt2N
_chemical_formula_sum 'Ac6 Ir1 Pt2 N1'
_symmetry_space_group_name_H-M 'P 1'
_symmetry_Int_Tables_number 1
_cell_length_a 7.324
_cell_length_b 7.440
_cell_length_c 8.017
_cell_angle_alpha 92.18
_cell_angle_beta 115.32
_cell_angle_gamma 118.49
loop_
_symmetry_equiv_pos_as_xyz
'x,y,z'
loop_
_atom_site_label
_atom_site_type_symbol
_atom_site_fract_x
_atom_site_fract_y
_atom_site_fract_z
_atom_site_occupancy
Ac1 Ac 0.000 0.000 0.000 1
Ac2 Ac 0.010 0.214 0.499 1
Ac3 Ac 0.356 0.859 0.493 1
Ac4 Ac 0.383 0.716 0.992 1
Ac5 Ac 0.652 0.522 0.534 1
Ac6 Ac 0.662 0.373 0.005 1
Ir1 Ir 0.522 0.119 0.268 1
Pt1 Pt 0.167 0.941 0.731 1
Pt2 Pt 0.169 0.444 0.225 1
N1 N 0.594 0.633 0.828 1
```

---

# 2
Material: La8Pr6Dy
Method: DFT, PBE
State: relaxed

Summary:
**VASP energy**: -208.27 eV per cell

```
data_La8Pr6Dy
_chemical_formula_sum 'La24 Pr18 Dy3'
_symmetry_space_group_name_H-M 'R -3'
_symmetry_Int_Tables_number 148
_symmetry_space_group_name_Hall '-R 3'
_cell_length_a 8.9622
_cell_length_b 8.9622
_cell_length_c 24.5138
_cell_angle_alpha 90.00
_cell_angle_beta 90.00
_cell_angle_gamma 120.00
loop_
_atom_site_label
_atom_site_type_symbol
_atom_site_fract_x
_atom_site_fract_y
_atom_site_fract_z
_atom_site_occupancy
La1 La 0.0000 0.0000 0.2443 1
La2 La 0.0149 0.7674 0.1269 1
Pr1 Pr 0.0113 0.7617 0.6351 1
Dy1 Dy 0.0000 0.0000 0.0000 1
```

---

# 3
Material: LiMnHg2
Method: DFT, PBE
State: relaxed

Summary:
**VASP energy**: -11.79 eV per cell

```
data_LiMnHg2
_chemical_formula_sum 'Li1 Mn1 Hg2'
_symmetry_space_group_name_H-M 'P 4/m m m'
_symmetry_Int_Tables_number 123
_symmetry_space_group_name_Hall '-P 4 2'
_cell_length_a 4.730
_cell_length_b 4.730
_cell_length_c 3.252
_cell_angle_alpha 90.00
_cell_angle_beta 90.00
_cell_angle_gamma 90.00
loop_
_atom_site_label
_atom_site_type_symbol
_atom_site_fract_x
_atom_site_fract_y
_atom_site_fract_z
_atom_site_occupancy
Li1 Li 0.000 0.000 0.000 1
Mn1 Mn 0.500 0.500 0.000 1
Hg1 Hg 0.000 0.500 0.500 1
```

---

| no. | volume (Å³ per atom) |
| --- | --- |
| 1 | 33.05 |
| 2 | 37.89 |
| 3 | 18.19 |